The following is a GGA-PBE calculation of crystalline TlHg8Pb6 at its relaxed geometry, from the Alexandria database.

Cell: 8.0154 8.0154 8.0154 Å, 71.11 71.11 71.11°
Closest atoms and distances in Å follow each position.
Element x y z (fractional)
Tl 0.0000 0.0000 0.0000  2 Hg 3.36, 6 Pb 3.58
Hg 0.1689 0.8196 0.4719  5 Hg 3.07-3.30, 3 Pb 3.20-3.39
Hg 0.1804 0.5281 0.8311  5 Hg 3.07-3.30, 3 Pb 3.20-3.39
Hg 0.1885 0.1885 0.1885  6 Hg 3.11-3.25, 1 Tl 3.36, 3 Pb 3.45
Hg 0.4719 0.1689 0.8196  5 Hg 3.07-3.30, 3 Pb 3.20-3.39
Hg 0.5281 0.8311 0.1804  5 Hg 3.07-3.30, 3 Pb 3.20-3.39
Hg 0.8115 0.8115 0.8115  6 Hg 3.11-3.25, 1 Tl 3.36, 3 Pb 3.45
Hg 0.8196 0.4719 0.1689  5 Hg 3.07-3.30, 3 Pb 3.20-3.39
Hg 0.8311 0.1804 0.5281  5 Hg 3.07-3.30, 3 Pb 3.20-3.39
Pb 0.1527 0.3048 0.5789  4 Hg 3.20-3.45, 3 Pb 3.45-3.49, 1 Tl 3.58
Pb 0.3048 0.5789 0.1527  4 Hg 3.20-3.45, 3 Pb 3.45-3.49, 1 Tl 3.58
Pb 0.4211 0.8473 0.6952  4 Hg 3.20-3.45, 3 Pb 3.45-3.49, 1 Tl 3.58
Pb 0.5789 0.1527 0.3048  4 Hg 3.20-3.45, 3 Pb 3.45-3.49, 1 Tl 3.58
Pb 0.6952 0.4211 0.8473  4 Hg 3.20-3.45, 3 Pb 3.45-3.49, 1 Tl 3.58
Pb 0.8473 0.6952 0.4211  4 Hg 3.20-3.45, 3 Pb 3.45-3.49, 1 Tl 3.58

Values from the calculation:
- calculated total energy (eV/atom) = -1.75